{
  "formula": "LiPrSnHg",
  "functional": "PBE-GGA",
  "state": "optimized geometry",
  "lattice_angstrom": [[-3.8972, 2.1434, 2.7823], [-4.9878, -0.8421, -1.3916], [-3.0767, -3.0347, 2.9746]],
  "species": ["Li", "Pr", "Hg", "Sn"],
  "frac_coords": [[0.0000, 0.0000, 0.0000], [0.5000, 0.5000, 0.5000], [0.7500, 0.7500, 0.7500], [0.2500, 0.2500, 0.2500]],
  "delta_e_f_mev_per_atom": -524,
  "volume_a3_per_fu": 102,
  "dos_ef_per_ev_fu": 1.4,
  "density_g_cm3": 7.60
}